Entry 1:
# NdUS2 PBE optimized geometry
# Raw formation energy, eV per atom: -1.57
# Energy above the lowest structure with this stoichiometry, eV/atom: 0.1042
# V, Å³/cell: 271.1
# N(E_F), states/eV/f.u.: 3.1
data_NdUS2
_cell_length_a 3.8123
_cell_length_b 3.8123
_cell_length_c 21.5424
_cell_angle_alpha 90.00
_cell_angle_beta 90.00
_cell_angle_gamma 120.00
_symmetry_space_group_name_H-M 'R 3 m'
_symmetry_Int_Tables_number 160
_symmetry_space_group_name_Hall 'R 3 -2"'
loop_
_atom_site_label
_atom_site_type_symbol
_atom_site_fract_x
_atom_site_fract_y
_atom_site_fract_z
Nd1 Nd 0.0000 0.0000 0.0000
U1 U 0.0000 0.0000 0.1755
S1 S 0.0000 0.0000 0.4232
S2 S 0.0000 0.0000 0.5857

Entry 2:
# Ti2TeH PBE optimized geometry
# Energy above the lowest structure with this stoichiometry, eV/atom: 0.3259
# V, Å³/cell: 262.1
# N(E_F), states/eV/f.u.: 2.5
data_Ti2TeH
_cell_length_a 4.856
_cell_length_b 4.856
_cell_length_c 11.114
_cell_angle_alpha 90.00
_cell_angle_beta 90.00
_cell_angle_gamma 90.00
_symmetry_space_group_name_H-M 'I 41/a m d'
_symmetry_Int_Tables_number 141
loop_
_symmetry_equiv_pos_as_xyz
'x,y,z'
'-x,-y,-z'
'-y+1/4,x+3/4,z+1/4'
'y+1/4,-x+3/4,-z+1/4'
'-x+1/2,-y,z+1/2'
'x+1/2,y,-z+1/2'
'y+1/4,-x+1/4,z+3/4'
'-y+1/4,x+1/4,-z+3/4'
'x,-y,-z'
'-x,y,z'
'-y+1/4,-x+1/4,-z+3/4'
'y+1/4,x+1/4,z+3/4'
'-x+1/2,y,-z+1/2'
'x+1/2,-y,z+1/2'
'y+1/4,x+3/4,-z+1/4'
'-y+1/4,-x+3/4,z+1/4'
'x+1/2,y+1/2,z+1/2'
'-x+1/2,-y+1/2,-z+1/2'
'-y+3/4,x+1/4,z+3/4'
'y+3/4,-x+1/4,-z+3/4'
'-x,-y+1/2,z'
'x,y+1/2,-z'
'y+3/4,-x+3/4,z+1/4'
'-y+3/4,x+3/4,-z+1/4'
'x+1/2,-y+1/2,-z+1/2'
'-x+1/2,y+1/2,z+1/2'
'-y+3/4,-x+3/4,-z+1/4'
'y+3/4,x+3/4,z+1/4'
'-x,y+1/2,-z'
'x,-y+1/2,z'
'y+3/4,x+1/4,-z+3/4'
'-y+3/4,-x+1/4,z+3/4'
loop_
_atom_site_label
_atom_site_type_symbol
_atom_site_fract_x
_atom_site_fract_y
_atom_site_fract_z
Ti1 Ti 0.000 0.000 0.000
Te1 Te 0.000 0.250 0.375
H1 H 0.000 0.250 0.875